1.
ScBe | PBE | optimized geometry

The structure in CIF format:
```
data_ScBe
_cell_length_a 4.6252
_cell_length_b 4.6252
_cell_length_c 7.0126
_cell_angle_alpha 90.00
_cell_angle_beta 90.00
_cell_angle_gamma 120.00
_symmetry_space_group_name_H-M 'P 63/m m c'
_symmetry_Int_Tables_number 194
_symmetry_space_group_name_Hall '-P 6c 2c'
loop_
_atom_site_label
_atom_site_type_symbol
_atom_site_fract_x
_atom_site_fract_y
_atom_site_fract_z
_atom_site_occupancy
Sc1 Sc 0.0000 0.0000 0.2500 1
Sc2 Sc 0.3333 0.6667 0.2500 1
Be1 Be 0.3333 0.6667 0.6077 1
```

Output
The calculation puts the energy of formation at 0.413 eV/atom. The calculation puts the total magnetization at 0.00 μB/f.u. As for the crystal system: hexagonal. The value obtained for the total energy is -0.170 hartree per atom.

2.
MgReTe2Rh | PBE | optimized geometry

The structure in CIF format:
```
data_MgReTe2Rh
_cell_length_a 5.1251
_cell_length_b 5.1251
_cell_length_c 4.8315
_cell_angle_alpha 90.00
_cell_angle_beta 90.00
_cell_angle_gamma 90.00
_symmetry_space_group_name_H-M 'P 4/m m m'
_symmetry_Int_Tables_number 123
_symmetry_space_group_name_Hall '-P 4 2'
loop_
_atom_site_label
_atom_site_type_symbol
_atom_site_fract_x
_atom_site_fract_y
_atom_site_fract_z
_atom_site_occupancy
Mg1 Mg 0.0000 0.0000 0.0000 1
Re1 Re 0.0000 0.0000 0.5000 1
Te1 Te 0.0000 0.5000 0.0000 1
Rh1 Rh 0.5000 0.5000 0.5000 1
```

Output
The formation energy (no corrections) is 1.7237 eV per atom. The calculation puts the total magnetization at 2.79 μB/f.u. As for the crystal system: tetragonal. The value obtained for the total energy is -0.140 hartree per atom.

3.
ZnCrOs | PBE | optimized geometry

The structure in CIF format:
```
data_ZnCrOs
_cell_length_a 2.6963
_cell_length_b 2.6963
_cell_length_c 6.4984
_cell_angle_alpha 90.00
_cell_angle_beta 90.00
_cell_angle_gamma 120.00
_symmetry_space_group_name_H-M 'P 3 m 1'
_symmetry_Int_Tables_number 156
_symmetry_space_group_name_Hall 'P 3 -2"'
loop_
_atom_site_label
_atom_site_type_symbol
_atom_site_fract_x
_atom_site_fract_y
_atom_site_fract_z
_atom_site_occupancy
Zn1 Zn 0.0000 0.0000 0.0000 1
Cr1 Cr 0.6667 0.3333 0.3374 1
Os1 Os 0.3333 0.6667 0.6418 1
```

Output
The calculation puts the energy of formation at 0.129 eV/atom. The calculation puts the total magnetization at 0.00 μB/f.u. As for the crystal system: trigonal. The value obtained for the total energy is -0.266 hartree per atom.

4.
NaOsRhPb2 | PBE | optimized geometry

The structure in CIF format:
```
data_NaOsRhPb2
_cell_length_a 5.1793
_cell_length_b 5.1793
_cell_length_c 4.5472
_cell_angle_alpha 90.00
_cell_angle_beta 90.00
_cell_angle_gamma 90.00
_symmetry_space_group_name_H-M 'P 4/m m m'
_symmetry_Int_Tables_number 123
_symmetry_space_group_name_Hall '-P 4 2'
loop_
_atom_site_label
_atom_site_type_symbol
_atom_site_fract_x
_atom_site_fract_y
_atom_site_fract_z
_atom_site_occupancy
Na1 Na 0.0000 0.0000 0.0000 1
Os1 Os 0.5000 0.5000 0.5000 1
Rh1 Rh 0.0000 0.0000 0.5000 1
Pb1 Pb 0.0000 0.5000 0.0000 1
```

Output
The calculation puts the energy of formation at 1.823 eV/atom. The calculation puts the total magnetization at 2.42 μB/f.u. As for the crystal system: tetragonal. The value obtained for the total energy is -0.134 hartree per atom.

5.
YFeBr4 | PBE | optimized geometry

The structure in CIF format:
```
data_YFeBr4
_cell_length_a 8.7662
_cell_length_b 8.7662
_cell_length_c 8.7662
_cell_angle_alpha 90.00
_cell_angle_beta 90.00
_cell_angle_gamma 90.00
_symmetry_space_group_name_H-M 'F -4 3 m'
_symmetry_Int_Tables_number 216
_symmetry_space_group_name_Hall 'F -4 2 3'
loop_
_atom_site_label
_atom_site_type_symbol
_atom_site_fract_x
_atom_site_fract_y
_atom_site_fract_z
_atom_site_occupancy
Y1 Y 0.0000 0.0000 0.0000 1
Fe1 Fe 0.2500 0.2500 0.2500 1
Br1 Br 0.1249 0.1249 0.6249 1
```

Output
The formation energy (no corrections) is 0.5087 eV per atom. The calculation puts the total magnetization at 4.87 μB/f.u. As for the crystal system: cubic. The value obtained for the total energy is -0.114 hartree per atom.

6.
TbTm8Th2 | PBE | optimized geometry

The structure in CIF format:
```
data_TbTm8Th2
_cell_length_a 8.9454
_cell_length_b 15.8938
_cell_length_c 5.8921
_cell_angle_alpha 90.00
_cell_angle_beta 123.99
_cell_angle_gamma 90.00
_symmetry_space_group_name_H-M 'C 1 2/m 1'
_symmetry_Int_Tables_number 12
_symmetry_space_group_name_Hall '-C 2y'
loop_
_atom_site_label
_atom_site_type_symbol
_atom_site_fract_x
_atom_site_fract_y
_atom_site_fract_z
_atom_site_occupancy
Tb1 Tb 0.0000 0.0000 0.0000 1
Tm1 Tm 0.0000 0.2084 0.0000 1
Tm2 Tm 0.0710 0.5000 0.7954 1
Tm3 Tm 0.2180 0.1182 0.6784 1
Th1 Th 0.0000 0.3066 0.5000 1
```

Output
The calculation puts the energy of formation at 0.202 eV/atom. The calculation puts the total magnetization at 0.00 μB/f.u. As for the crystal system: monoclinic. The value obtained for the total energy is -0.177 hartree per atom.